A relaxed CrSnAsBr2 crystal. Source: Alexandria via LeMat-Bulk, functional GGA-PBEsol.

Results
The total energy comes out at -23.151 eV for the cell shown. Its calculated volume is 120.5 Å³/cell. Its formation energy from raw total energies is 0.0394 eV/atom.

a b c (Å): 4.8913 4.8913 5.0380
angles (deg): 90.00 90.00 90.00
Last column: magnetic moment on the atom in μB.
Fractional positions:
Cr1 0.0000 0.0000 0.0000  3.10
As1 0.0000 0.0000 0.5000  -0.22
Sn1 0.5000 0.5000 0.5000  0.07
Br1 0.0000 0.5000 0.0000  -0.01
Br2 0.5000 0.0000 0.0000  -0.01